# GGA+U Cr2Cu5P4O18, optimized geometry
data_Cr2Cu5P4O18
_chemical_formula_sum 'Cr4 Cu10 P8 O36'
_cell_length_a 13.284
_cell_length_b 6.479
_cell_length_c 8.387
_cell_angle_alpha 90.00
_cell_angle_beta 112.18
_cell_angle_gamma 90.00
_symmetry_space_group_name_H-M 'C 1 2/m 1'
_symmetry_Int_Tables_number 12
loop_
_symmetry_equiv_pos_as_xyz
'x,y,z'
'-x,-y,-z'
'-x,y,-z'
'x,-y,z'
'x+1/2,y+1/2,z'
'-x+1/2,-y+1/2,-z'
'-x+1/2,y+1/2,-z'
'x+1/2,-y+1/2,z'
loop_
_atom_site_label
_atom_site_type_symbol
_atom_site_fract_x
_atom_site_fract_y
_atom_site_fract_z
Cr1 Cr 0.108 0.000 0.467
Cu1 Cu 0.000 0.500 0.000
Cu2 Cu 0.125 0.256 0.766
P1 P 0.127 0.500 0.411
P2 P 0.160 0.000 0.093
O1 O 0.026 0.500 0.239
O2 O 0.058 0.000 0.663
O3 O 0.115 0.308 0.517
O4 O 0.118 0.202 0.989
O5 O 0.132 0.000 0.252
O6 O 0.212 0.500 0.854
O7 O 0.232 0.500 0.379
# uncorrected energy = -385.52 eV/cell
# V = 11.5 Å³/atom



# GGA+U Ti3CrCu2P6O24, optimized geometry
data_Ti3CrCu2P6O24
_chemical_formula_sum 'Ti9 Cr3 Cu6 P18 O72'
_cell_length_a 8.6190
_cell_length_b 8.6190
_cell_length_c 21.0041
_cell_angle_alpha 90.00
_cell_angle_beta 90.00
_cell_angle_gamma 120.00
_symmetry_space_group_name_H-M 'R 3'
_symmetry_Int_Tables_number 146
_symmetry_space_group_name_Hall 'R 3'
loop_
_atom_site_label
_atom_site_type_symbol
_atom_site_fract_x
_atom_site_fract_y
_atom_site_fract_z
Ti1 Ti 0.0000 0.0000 0.0000
Ti2 Ti 0.0000 0.0000 0.2148
Ti3 Ti 0.0000 0.0000 0.7134
Cr1 Cr 0.0000 0.0000 0.4974
Cu1 Cu 0.0000 0.0000 0.3571
Cu2 Cu 0.0000 0.0000 0.8578
P1 P 0.0000 0.2923 0.1072
P2 P 0.0002 0.7099 0.6056
O1 O 0.0000 0.1885 0.1672
O2 O 0.0009 0.8135 0.6662
O3 O 0.0069 0.8082 0.5452
O4 O 0.0220 0.1858 0.7784
O5 O 0.0259 0.8378 0.2779
O6 O 0.1496 0.4757 0.7144
O7 O 0.1651 0.6814 0.6046
O8 O 0.1697 0.4777 0.1007
# uncorrected energy = -814.64 eV/cell
# V = 12.5 Å³/atom